ThZnGe (PBE, relaxed); energy of formation from the pure elements = -0.61 eV/atom; E_tot = -0.3708 Ry per atom
1.0
-2.313 3.039 -1.758
-2.973 -0.539 2.979
3.156 2.766 0.629
Zn Th Ge
1 1 1
direct
0.165 0.333 0.667 Zn
0.667 0.667 0.333 Th
0.168 0.000 0.000 Ge

=====

ThZnGe (PBE, relaxed); energy of formation from the pure elements = -0.29 eV/atom; E_tot = -0.3476 Ry per atom
1.0
4.138 0.000 0.000
2.069 3.584 0.000
2.069 1.195 9.562
Th Ge Zn
2 2 2
direct
0.574 0.574 0.277 Th
0.426 0.426 0.723 Th
0.685 0.685 0.944 Ge
0.315 0.315 0.056 Ge
0.832 0.832 0.503 Zn
0.168 0.168 0.497 Zn

=====

Th2ZnGe (PBE, relaxed); energy of formation from the pure elements = -0.50 eV/atom; E above lowest polymorph = 0 meV/atom; E_tot = -0.4174 Ry per atom
1.0
-2.728 3.038 0.416
-4.502 -4.048 0.041
2.911 1.509 8.076
Zn Th Ge
2 4 2
direct
0.750 0.639 0.784 Zn
0.250 0.361 0.216 Zn
0.250 0.786 0.068 Th
0.750 0.210 0.425 Th
0.750 0.214 0.932 Th
0.250 0.790 0.575 Th
0.750 0.653 0.289 Ge
0.250 0.347 0.711 Ge

=====

Th2Zn3Ge (PBE, relaxed); energy of formation from the pure elements = -0.43 eV/atom; E_tot = -0.3170 Ry per atom
1.0
-0.432 -0.238 3.993
2.495 -3.570 0.057
6.131 4.299 0.919
Ge Zn Th
1 3 2
direct
0.500 0.500 0.338 Ge
0.500 0.000 0.161 Zn
0.500 0.500 0.673 Zn
0.500 0.000 0.829 Zn
0.000 0.500 0.007 Th
0.000 0.000 0.493 Th

=====

Th2ZnGe (PBE, relaxed); energy of formation from the pure elements = 0.15 eV/atom; E above lowest polymorph = 643 meV/atom; E_tot = -0.3701 Ry per atom
1.0
3.918 0.000 0.000
1.959 3.393 0.000
1.959 1.131 9.994
Zn Ge Th
1 1 2
direct
0.000 0.000 0.000 Zn
0.500 0.500 0.500 Ge
0.894 0.894 0.317 Th
0.106 0.106 0.683 Th

=====

Th2ZnGe (PBE, relaxed); energy of formation from the pure elements = -0.40 eV/atom; E above lowest polymorph = 101 meV/atom; E_tot = -0.4100 Ry per atom
1.0
4.142 0.000 0.000
0.000 4.867 0.000
0.000 0.000 4.867
Zn Th Ge
1 2 1
direct
0.500 0.500 0.500 Zn
0.000 0.000 0.500 Th
0.000 0.500 0.000 Th
0.500 0.000 0.000 Ge

=====

Mass density per entry: 9.37, 8.67, 9.89, 9.21, 7.53, 10.19 g/cm³